{
  "formula": "FeNi2CF",
  "functional": "PBE with a Hubbard U",
  "state": "optimized geometry",
  "crystal_system": "tetragonal",
  "spacegroup": "P4/mmm, No. 123",
  "energy_ev_per_atom": -3.948,
  "lattice": [[3.830, 0.000, 0.000], [0.000, 3.830, 0.000], [0.000, 0.000, 4.185]],
  "species": ["Fe", "Ni", "Ni", "C", "F"],
  "frac_coords": [[0.000, 0.000, 0.000], [0.000, 0.500, 0.500], [0.500, 0.000, 0.500], [0.000, 0.000, 0.500], [0.500, 0.500, 0.000]]
}